# Ac8HgRh2 GGA-PBE relaxed
# M_tot: 0.00 μB per formula unit
# ΔE_f: -260 meV/atom
data_Ac8HgRh2
_chemical_formula_sum 'Ac16 Hg2 Rh4'
_cell_length_a 9.111
_cell_length_b 14.674
_cell_length_c 6.346
_cell_angle_alpha 90.00
_cell_angle_beta 105.49
_cell_angle_gamma 90.00
_symmetry_space_group_name_H-M 'C 1 m 1'
_symmetry_Int_Tables_number 8
_symmetry_space_group_name_Hall 'C -2y'
loop_
_atom_site_label
_atom_site_fract_x
_atom_site_fract_y
_atom_site_fract_z
Ac1 0.000 0.000 0.000
Ac2 0.101 0.371 0.775
Ac3 0.168 0.129 0.614
Ac4 0.266 0.500 0.380
Ac5 0.386 0.234 0.191
Hg1 0.387 0.000 0.102
Rh1 0.386 0.283 0.693